Record 1
## KSmHgSe3 (PBE-GGA)

Data for a relaxed KSmHgSe3 crystal. Values from VASP.

```
&SYSTEM
  ibrav = 0, nat = 12, ntyp = 4
/
ATOMIC_SPECIES
K 39.10 K.upf
Sm 150.36 Sm.upf
Hg 200.59 Hg.upf
Se 78.96 Se.upf
CELL_PARAMETERS angstrom
4.3203 0.0000 0.0000
0.0000 8.9237 -0.2444
0.0000 -2.6139 9.9302
ATOMIC_POSITIONS crystal
K 0.2500 0.2138 0.2383
K 0.7500 0.7862 0.7617
Sm 0.2500 0.6735 0.1387
Sm 0.7500 0.3265 0.8613
Hg 0.2500 0.0935 0.6125
Hg 0.7500 0.9065 0.3875
Se 0.7500 0.9021 0.1298
Se 0.2500 0.0979 0.8702
Se 0.2500 0.7625 0.4597
Se 0.7500 0.2375 0.5403
Se 0.7500 0.4567 0.1517
Se 0.2500 0.5433 0.8483
```

Computed properties:
As for the total magnetization: 0.000 μB/cell. The uncorrected formation energy comes out at -1193 meV/atom. The total energy is -3.955 eV/atom.



Record 2
## Ti2SnPd8 (PBE-GGA)

Data for a relaxed Ti2SnPd8 crystal. Values from VASP.

```
&SYSTEM
  ibrav = 0, nat = 11, ntyp = 3
/
ATOMIC_SPECIES
Ti 47.87 Ti.upf
Sn 118.71 Sn.upf
Pd 106.42 Pd.upf
CELL_PARAMETERS angstrom
4.0230 0.0000 0.0000
0.0000 6.3323 0.3499
-2.0115 -2.3218 6.7214
ATOMIC_POSITIONS crystal
Ti 0.7814 0.3383 0.5627
Ti 0.2186 0.6617 0.4373
Sn 0.5000 0.0000 0.0000
Pd 0.4001 0.5348 0.8002
Pd 0.6802 0.9181 0.3603
Pd 0.8467 0.7831 0.6934
Pd 0.9566 0.2685 0.9132
Pd 0.1533 0.2169 0.3066
Pd 0.3198 0.0819 0.6397
Pd 0.5999 0.4652 0.1998
Pd 0.0434 0.7315 0.0868
```

Computed properties:
As for the total magnetization: 0.000 μB/cell. For the calculated formation energy, the calculation gives -541.8 meV/atom. The value obtained for the offset from the most stable computed form is 0 meV/atom. The total energy is -6.118 eV/atom. As for the density of states at the Fermi level: 7.33 states/eV/f.u.



Repeat the first record exactly.
## KSmHgSe3 (PBE-GGA)

Data for a relaxed KSmHgSe3 crystal. Values from VASP.

```
&SYSTEM
  ibrav = 0, nat = 12, ntyp = 4
/
ATOMIC_SPECIES
K 39.10 K.upf
Sm 150.36 Sm.upf
Hg 200.59 Hg.upf
Se 78.96 Se.upf
CELL_PARAMETERS angstrom
4.3203 0.0000 0.0000
0.0000 8.9237 -0.2444
0.0000 -2.6139 9.9302
ATOMIC_POSITIONS crystal
K 0.2500 0.2138 0.2383
K 0.7500 0.7862 0.7617
Sm 0.2500 0.6735 0.1387
Sm 0.7500 0.3265 0.8613
Hg 0.2500 0.0935 0.6125
Hg 0.7500 0.9065 0.3875
Se 0.7500 0.9021 0.1298
Se 0.2500 0.0979 0.8702
Se 0.2500 0.7625 0.4597
Se 0.7500 0.2375 0.5403
Se 0.7500 0.4567 0.1517
Se 0.2500 0.5433 0.8483
```

Computed properties:
As for the total magnetization: 0.000 μB/cell. The uncorrected formation energy comes out at -1193 meV/atom. The total energy is -3.955 eV/atom.